[1]
This record from Alexandria describes a geometry-optimized AcLaSb2 structure. The functional is PBE.

Spin magnetization ... 0.00 μB/atom
Volume ... 37.07 Å³/atom

Lattice parameters (Å, degrees): 8.164 8.164 8.164 33.58 33.58 33.58
Element x y z (fractional)
Ac 0.000 0.000 0.000
La 0.500 0.500 0.500
Sb 0.247 0.247 0.247
Sb 0.753 0.753 0.753

***

[2]
This record from Alexandria describes a geometry-optimized LaCoP structure. The functional is PBE.

Spin magnetization ... 0.29 μB/atom
Calculated formation energy ... -2.897 eV per formula unit
Volume ... 21.13 Å³/atom

Lattice parameters (Å, degrees): 3.881 3.881 8.415 90.00 90.00 90.00
Element x y z (fractional)
La 0.250 0.250 0.217
La 0.750 0.750 0.783
Co 0.250 0.750 0.500
Co 0.750 0.250 0.500
P 0.250 0.250 0.640
P 0.750 0.750 0.360

***

[3]
This record from Alexandria describes a geometry-optimized GdHfAlAg structure. The functional is PBE.

Spin magnetization ... 2.00 μB/atom
Calculated formation energy ... -0.555 eV per formula unit
Volume ... 21.96 Å³/atom

Lattice parameters (Å, degrees): 4.990 4.990 4.990 60.00 60.00 60.00
Element x y z (fractional)
Gd 0.000 0.000 0.000
Hf 0.500 0.500 0.500
Al 0.250 0.250 0.250
Ag 0.750 0.750 0.750

***

[4]
This record from Alexandria describes a geometry-optimized InBSeBr2 structure. The functional is PBE.

Spin magnetization ... 0.00 μB/atom
Volume ... 30.64 Å³/atom

Lattice parameters (Å, degrees): 4.343 4.343 8.120 90.00 90.00 90.00
Element x y z (fractional)
In 0.000 0.000 0.000
B 0.000 0.000 0.500
Se 0.500 0.500 0.000
Br 0.000 0.500 0.500
Br 0.500 0.000 0.500

***

[5]
This record from Alexandria describes a geometry-optimized Pa2CrNi9 structure. The functional is PBE.

Spin magnetization ... 0.27 μB/atom
Calculated formation energy ... -2.218 eV per formula unit
Volume ... 13.76 Å³/atom

Lattice parameters (Å, degrees): 8.571 8.571 8.571 32.89 32.89 32.89
Element x y z (fractional)
Pa 0.133 0.133 0.133
Pa 0.867 0.867 0.867
Cr 0.000 0.000 0.000
Ni 0.081 0.583 0.583
Ni 0.333 0.333 0.333
Ni 0.417 0.417 0.919
Ni 0.417 0.919 0.417
Ni 0.500 0.500 0.500
Ni 0.583 0.081 0.583
Ni 0.583 0.583 0.081
Ni 0.667 0.667 0.667
Ni 0.919 0.417 0.417

***

[6]
This record from Alexandria describes a geometry-optimized MgZrFe2 structure. The functional is PBE.

Spin magnetization ... 1.21 μB/atom
Calculated formation energy ... 1.482 eV per formula unit
Volume ... 16.81 Å³/atom

Lattice parameters (Å, degrees): 9.234 9.234 9.234 18.23 18.23 18.23
Element x y z (fractional)
Mg 0.000 0.000 0.000
Zr 0.500 0.500 0.500
Fe 0.251 0.251 0.251
Fe 0.749 0.749 0.749

***

The calculation returns the following electronic total energy values, one per record and in order: -22.3; -40.7; -31.2; -13.7; -82.9; -25.6 eV for the cell shown.